Record 1
Computed, not measured: an optimized crystal structure of ZnReBr2 at the PBE-GGA level of DFT.

```
data_ZnReBr2
_chemical_formula_sum 'Zn2 Re2 Br4'
_symmetry_space_group_name_H-M 'P 1'
_symmetry_Int_Tables_number 1
_cell_length_a 7.1708
_cell_length_b 3.2010
_cell_length_c 9.2783
_cell_angle_alpha 90.00
_cell_angle_beta 97.83
_cell_angle_gamma 90.00
loop_
_symmetry_equiv_pos_as_xyz
'x,y,z'
loop_
_atom_site_label
_atom_site_type_symbol
_atom_site_fract_x
_atom_site_fract_y
_atom_site_fract_z
Zn1 Zn 0.0000 0.0000 0.0000
Zn2 Zn 0.5000 0.5000 0.0000
Re1 Re 0.0000 0.5000 0.5000
Re2 Re 0.5000 0.0000 0.5000
Br1 Br 0.2288 0.0000 0.6546
Br2 Br 0.2712 0.5000 0.3454
Br3 Br 0.7288 0.5000 0.6546
Br4 Br 0.7712 0.0000 0.3454
```

Values from the calculation:
* formation energy from raw total energies: 583 meV/atom
* DOS at the Fermi energy: 0.569 states/eV/atom
* space-group type: No. 12
* energy: -3.68 eV per atom
* volume: 210.99 Å³/cell
* distance to the lowest polymorph of the same formula: 0.395 eV per atom

***

Record 2
Computed, not measured: an optimized crystal structure of AgHI2O at the PBE-GGA level of DFT.

```
data_AgHI2O
_chemical_formula_sum 'Ag1 H1 I2 O1'
_symmetry_space_group_name_H-M 'P 1'
_symmetry_Int_Tables_number 1
_cell_length_a 5.9286
_cell_length_b 5.9286
_cell_length_c 2.8670
_cell_angle_alpha 90.00
_cell_angle_beta 90.00
_cell_angle_gamma 90.00
loop_
_symmetry_equiv_pos_as_xyz
'x,y,z'
loop_
_atom_site_label
_atom_site_type_symbol
_atom_site_fract_x
_atom_site_fract_y
_atom_site_fract_z
Ag1 Ag 0.0000 0.0000 0.0000
H1 H 0.5000 0.5000 0.5000
I1 I 0.0000 0.5000 0.5000
I2 I 0.5000 0.0000 0.5000
O1 O 0.5000 0.5000 0.0000
```

Values from the calculation:
* DOS at the Fermi energy: 0.926 states/eV/atom
* space-group type: No. 123
* energy: -2.50 eV per atom
* volume: 100.77 Å³/cell
* distance to the lowest polymorph of the same formula: 0.000 eV per atom

***

Record 3
Computed, not measured: an optimized crystal structure of TlIn12Hg6 at the PBE-GGA level of DFT.

```
data_TlIn12Hg6
_chemical_formula_sum 'Tl1 In12 Hg6'
_symmetry_space_group_name_H-M 'P 1'
_symmetry_Int_Tables_number 1
_cell_length_a 8.6722
_cell_length_b 8.6722
_cell_length_c 8.6722
_cell_angle_alpha 106.91
_cell_angle_beta 106.91
_cell_angle_gamma 106.91
loop_
_symmetry_equiv_pos_as_xyz
'x,y,z'
loop_
_atom_site_label
_atom_site_type_symbol
_atom_site_fract_x
_atom_site_fract_y
_atom_site_fract_z
Tl1 Tl 0.0000 0.0000 0.0000
In1 In 0.1146 0.5000 0.8854
In2 In 0.1146 0.8854 0.5000
In3 In 0.1292 0.3681 0.3681
In4 In 0.3681 0.1292 0.3681
In5 In 0.3681 0.3681 0.1292
In6 In 0.5000 0.1146 0.8854
In7 In 0.5000 0.8854 0.1146
In8 In 0.6319 0.6319 0.8708
In9 In 0.6319 0.8708 0.6319
In10 In 0.8708 0.6319 0.6319
In11 In 0.8854 0.1146 0.5000
In12 In 0.8854 0.5000 0.1146
Hg1 Hg 0.2845 0.7024 0.7024
Hg2 Hg 0.2976 0.2976 0.7155
Hg3 Hg 0.2976 0.7155 0.2976
Hg4 Hg 0.7024 0.2845 0.7024
Hg5 Hg 0.7024 0.7024 0.2845
Hg6 Hg 0.7155 0.2976 0.2976
```

Values from the calculation:
* DOS at the Fermi energy: 0.364 states/eV/atom
* space-group type: No. 166
* energy: -1.89 eV per atom
* volume: 544.52 Å³/cell
* distance to the lowest polymorph of the same formula: 0.000 eV per atom